[1]
A plane-wave DFT calculation with GGA-PBE was carried out for LiSn2F8 after structural relaxation.

Lattice parameters (Å, degrees): 5.1321 5.5574 5.5574 75.68 100.04 100.04
With the nearest neighbours (Å) after each atom.
Positions (direct):
1 F 0.3092 0.3395 0.9502  2 Sn 2.18-2.19, 1 Li 2.24
2 F 0.2566 0.4404 0.4404  2 Sn 2.15-2.19
3 F 0.3092 0.9502 0.3395  2 Sn 2.18-2.19, 1 Li 2.24
4 Sn 0.5652 0.3092 0.3092  7 F 1.99-2.19
5 Li 0.0000 0.0000 0.0000  2 F 1.90
6 F 0.8181 0.1665 0.1665  1 Li 1.90, 1 Sn 1.99
7 Sn 0.4348 0.6908 0.6908  7 F 1.99-2.19
8 F 0.1819 0.8335 0.8335  1 Li 1.90, 1 Sn 1.99
9 F 0.6908 0.6605 0.0498  2 Sn 2.18-2.19, 1 Li 2.24
10 F 0.6908 0.0498 0.6605  2 Sn 2.18-2.19, 1 Li 2.24
11 F 0.7434 0.5596 0.5596  2 Sn 2.15-2.19

Values from the calculation:
final energy	-51.7	eV/cell
mass density	4.39	g cm⁻³
energy relative to the elements, uncorrected	-2.440	eV/atom
energy relative to the lowest polymorph listed for this composition	0	meV per atom
calculated volume	149.8	Å³/cell

[2]
A plane-wave DFT calculation with GGA-PBE was carried out for ZnFe2CoH after structural relaxation.

Lattice parameters (Å, degrees): 3.5934 3.5934 3.8901 90.00 90.00 90.00
With the nearest neighbours (Å) after each atom.
Positions (direct):
1 Fe 0.5000 0.0000 0.0000  2 H 1.80
2 Co 0.5000 0.5000 0.5000  4 Zn 2.54, 8 Fe 2.65
3 Zn 0.0000 0.0000 0.5000  2 H 1.95
4 H 0.0000 0.0000 0.0000  4 Fe 1.80, 2 Zn 1.95
5 Fe 0.0000 0.5000 0.0000  2 H 1.80

Values from the calculation:
final energy	-28.2	eV/cell
mass density	7.84	g cm⁻³
energy relative to the lowest polymorph listed for this composition	128	meV per atom
calculated volume	50.2	Å³/cell